# 1
A plane-wave DFT calculation with GGA-PBE was carried out for a relaxed Pm3SbPd crystal.

It has space group C2/c (No. 15), with a = 15.144 Å, b = 10.861 Å, c = 7.526 Å, α = 90.00°, β = 101.88° and γ = 90.00°. The distinct sites, in fractional coordinates, are Pm at (0.096, 0.249, 0.473), Pm at (0.099, 0.064, 0.897), Pm at (0.139, 0.415, 0.054), Sb at (0.236, 0.144, 0.242), Pd at (0.000, 0.292, 0.750) and Pd at (0.000, 0.451, 0.250).

Its energy above the lowest structure with this stoichiometry is 0.00 kcal/mol of atoms. The formation energy (no corrections) is -3.19 eV/f.u. The density comes out at 7.3 g/cm3.

# 2
A plane-wave DFT calculation with GGA-PBE was carried out for a relaxed PrSm2Th3As6 crystal.

It has space group C2/m (No. 12), with a = 7.378 Å, b = 12.759 Å, c = 7.343 Å, α = 90.00°, β = 109.56° and γ = 90.00°. The distinct sites, in fractional coordinates, are Pr at (0.000, 0.000, 0.000), Sm at (0.000, 0.333, 0.000), Th at (0.000, 0.166, 0.500), Th at (0.000, 0.500, 0.500), As at (0.247, 0.500, 0.251) and As at (0.248, 0.332, 0.748).

As for the formation energy: -142.2 kJ per mole of atoms. The density comes out at 8.1 g/cm3.

# 3
A plane-wave DFT calculation with GGA-PBE was carried out for a relaxed Th3CuNi3 crystal.

It has space group C2/m (No. 12), with a = 11.631 Å, b = 3.827 Å, c = 13.732 Å, α = 90.00°, β = 111.88° and γ = 90.00°. The distinct sites, in fractional coordinates, are Th at (0.026, 0.000, 0.379), Th at (0.108, 0.000, 0.923), Th at (0.240, 0.000, 0.230), Cu at (0.240, 0.500, 0.419), Ni at (0.041, 0.500, 0.234), Ni at (0.106, 0.500, 0.076) and Ni at (0.117, 0.500, 0.548).

As for the formation energy: -36.1 kJ per mole of atoms. The density comes out at 11.0 g/cm3.

# 4
A plane-wave DFT calculation with GGA-PBE was carried out for a relaxed Ce11In9Ga4 crystal.

It has space group Cmmm (No. 65), with a = 15.404 Å, b = 22.752 Å, c = 3.594 Å, α = 90.00°, β = 90.00° and γ = 90.00°. The distinct sites, in fractional coordinates, are Ce at (0.000, 0.000, 0.000), Ce at (0.000, 0.158, 0.000), Ce at (0.000, 0.375, 0.000), Ce at (0.198, 0.500, 0.000), Ce at (0.233, 0.189, 0.000), In at (0.000, 0.500, 0.500), In at (0.097, 0.268, 0.500), In at (0.146, 0.076, 0.500) and Ga at (0.160, 0.395, 0.500).

As for the formation energy: -37.0 kJ per mole of atoms. The density comes out at 7.5 g/cm3.

# 5
A plane-wave DFT calculation with GGA-PBE was carried out for a relaxed HoThSn crystal.

It has space group I4mm (No. 107), with a = 3.705 Å, b = 3.705 Å, c = 13.068 Å, α = 90.00°, β = 90.00° and γ = 90.00°. The distinct sites, in fractional coordinates, are Ho at (0.000, 0.000, 0.000), Th at (0.000, 0.000, 0.309) and Sn at (0.000, 0.000, 0.647).

As for the formation energy: -29.2 kJ per mole of atoms. Its energy above the lowest structure with this stoichiometry is 4.52 kcal/mol of atoms. The density comes out at 9.5 g/cm3.

# 6
A plane-wave DFT calculation with GGA-PBE was carried out for a relaxed Mn2PdPt2 crystal.

It has space group P4/mbm (No. 127), with a = 7.424 Å, b = 7.424 Å, c = 2.874 Å, α = 90.00°, β = 90.00° and γ = 90.00°. The distinct sites, in fractional coordinates, are Mn at (0.165, 0.335, 0.000), Pd at (0.000, 0.000, 0.500) and Pt at (0.134, 0.634, 0.500).

As for the formation energy: -18.7 kJ per mole of atoms. Its energy above the lowest structure with this stoichiometry is 0.00 kcal/mol of atoms. The density comes out at 12.7 g/cm3.

# 7
A plane-wave DFT calculation with GGA-PBE was carried out for a relaxed HfH2Ir crystal.

It has space group R-3m (No. 166, hexagonal axes), with a = 3.1459 Å, b = 3.1459 Å, c = 14.6738 Å, α = 90.00°, β = 90.00° and γ = 120.00°. The distinct sites, in fractional coordinates, are Hf at (0.0000, 0.0000, 0.0000), H at (0.0000, 0.0000, 0.3818) and Ir at (0.0000, 0.0000, 0.5000).

Its energy above the lowest structure with this stoichiometry is 1.68 kcal/mol of atoms. The density comes out at 14.8 g/cm3.

no.,volume (Å³/atom),total moment (μB per formula unit)
1,30.29,0.000
2,27.14,0.000
3,20.25,0.000
4,26.24,4.365
5,29.90,0.000
6,15.84,8.445
7,10.48,0.000